The following is a PBE calculation of MgScWI2 after structural relaxation, from Alexandria via LeMat-Bulk.

Output
Raw formation energy: 3.81 eV per formula unit

Geometry as CIF:
```
data_MgScWI2
_chemical_formula_sum 'Mg1 Sc1 W1 I2'
_space_group_name_H-M_alt 'P 4/m m m'
_space_group_IT_number 123
_space_group_name_Hall '-P 4 2'
_cell_length_a 5.499
_cell_length_b 5.499
_cell_length_c 5.238
_cell_angle_alpha 90.00
_cell_angle_beta 90.00
_cell_angle_gamma 90.00
loop_
_atom_site_label
_atom_site_fract_x
_atom_site_fract_y
_atom_site_fract_z
Mg1 0.000 0.000 0.000
Sc1 0.500 0.500 0.000
W1 0.500 0.500 0.500
I1 0.000 0.500 0.500
```


The following is a PBE calculation of NaBe2Co after structural relaxation, from Alexandria via LeMat-Bulk.

Output
Energy relative to the lowest polymorph listed for this composition: 77 meV/atom
DFT formation energy: 699 meV per atom

Geometry as CIF:
```
data_NaBe2Co
_chemical_formula_sum 'Na4 Be8 Co4'
_space_group_name_H-M_alt 'I 41/a m d'
_space_group_IT_number 141
_cell_length_a 4.239
_cell_length_b 4.239
_cell_length_c 14.781
_cell_angle_alpha 90.00
_cell_angle_beta 90.00
_cell_angle_gamma 90.00
loop_
_space_group_symop_operation_xyz
'x,y,z'
'-x,-y,-z'
'-y+1/4,x+3/4,z+1/4'
'y+1/4,-x+3/4,-z+1/4'
'-x+1/2,-y,z+1/2'
'x+1/2,y,-z+1/2'
'y+1/4,-x+1/4,z+3/4'
'-y+1/4,x+1/4,-z+3/4'
'x,-y,-z'
'-x,y,z'
'-y+1/4,-x+1/4,-z+3/4'
'y+1/4,x+1/4,z+3/4'
'-x+1/2,y,-z+1/2'
'x+1/2,-y,z+1/2'
'y+1/4,x+3/4,-z+1/4'
'-y+1/4,-x+3/4,z+1/4'
'x+1/2,y+1/2,z+1/2'
'-x+1/2,-y+1/2,-z+1/2'
'-y+3/4,x+1/4,z+3/4'
'y+3/4,-x+1/4,-z+3/4'
'-x,-y+1/2,z'
'x,y+1/2,-z'
'y+3/4,-x+3/4,z+1/4'
'-y+3/4,x+3/4,-z+1/4'
'x+1/2,-y+1/2,-z+1/2'
'-x+1/2,y+1/2,z+1/2'
'-y+3/4,-x+3/4,-z+1/4'
'y+3/4,x+3/4,z+1/4'
'-x,y+1/2,-z'
'x,-y+1/2,z'
'y+3/4,x+1/4,-z+3/4'
'-y+3/4,-x+1/4,z+3/4'
loop_
_atom_site_label
_atom_site_fract_x
_atom_site_fract_y
_atom_site_fract_z
Na1 0.000 0.250 0.375
Be1 0.000 0.000 0.000
Co1 0.000 0.250 0.875
```


The following is a PBE calculation of Mg4Zn3Pt after structural relaxation, from Alexandria via LeMat-Bulk.

Output
DFT formation energy: -308 meV per atom

Geometry as CIF:
```
data_Mg4Zn3Pt
_chemical_formula_sum 'Mg12 Zn9 Pt3'
_space_group_name_H-M_alt 'R -3 m'
_space_group_IT_number 166
_space_group_name_Hall '-R 3 2"'
_cell_length_a 4.6104
_cell_length_b 4.6104
_cell_length_c 22.4024
_cell_angle_alpha 90.00
_cell_angle_beta 90.00
_cell_angle_gamma 120.00
loop_
_atom_site_label
_atom_site_fract_x
_atom_site_fract_y
_atom_site_fract_z
Mg1 0.0000 0.0000 0.1221
Mg2 0.0000 0.0000 0.3720
Zn1 0.0000 0.0000 0.2491
Zn2 0.0000 0.0000 0.5000
Pt1 0.0000 0.0000 0.0000
```


The following is a PBE calculation of La3AuC after structural relaxation, from Alexandria via LeMat-Bulk.

Output
Energy relative to the lowest polymorph listed for this composition: 482 meV/atom
DFT formation energy: 101 meV per atom

Geometry as CIF:
```
data_La3AuC
_chemical_formula_sum 'La12 Au4 C4'
_space_group_name_H-M_alt 'C m c m'
_space_group_IT_number 63
_space_group_name_Hall '-C 2c 2'
_cell_length_a 7.533
_cell_length_b 9.972
_cell_length_c 8.991
_cell_angle_alpha 90.00
_cell_angle_beta 90.00
_cell_angle_gamma 90.00
loop_
_atom_site_label
_atom_site_fract_x
_atom_site_fract_y
_atom_site_fract_z
La1 0.000 0.000 0.000
La2 0.247 0.239 0.250
Au1 0.000 0.493 0.250
C1 0.000 0.100 0.250
```


Number 1: uncorrected energy -4.034 eV/atom, density 5.314 g/cm3, spin magnetization 0.73 μB/f.u.. Number 2: uncorrected energy -3.270 eV/atom, density 2.499 g/cm3, spin magnetization 0.67 μB/f.u.. Number 3: uncorrected energy -2.338 eV/atom, density 5.901 g/cm3, spin magnetization 0.00 μB/f.u.. Number 4: uncorrected energy -5.356 eV/atom, density 6.153 g/cm3, spin magnetization 0.00 μB/f.u..